# LiMn2OsC PBE optimized geometry
# ΔH_f (0 K) in eV/atom: 0.19
# Space group: P4/mmm (123)
# Electronic total energy in eV/atom: -7.95
data_LiMn2OsC
_chemical_formula_sum 'Li1 Mn2 Os1 C1'
_space_group_name_H-M_alt 'P 1'
_space_group_IT_number 1
_space_group_name_Hall 'P 1'
_cell_length_a 4.029
_cell_length_b 3.947
_cell_length_c 4.029
_cell_angle_alpha 90.00
_cell_angle_beta 90.00
_cell_angle_gamma 90.00
loop_
_atom_site_label
_atom_site_type_symbol
_atom_site_fract_x
_atom_site_fract_y
_atom_site_fract_z
Mn1 Mn 0.000 0.000 0.500
Mn2 Mn 0.500 0.000 0.000
Li1 Li 0.500 0.500 0.500
Os1 Os 0.000 0.500 0.000
C1 C 0.000 0.000 0.000

=====

# CsCoSi2Bi PBE optimized geometry
# Space group: P4/mmm (123)
# Electronic total energy in eV/atom: -3.39
# Uncorrected formation energy in eV per atom: 1.14
data_CsCoSi2Bi
_chemical_formula_sum 'Cs1 Co1 Si2 Bi1'
_space_group_name_H-M_alt 'P 1'
_space_group_IT_number 1
_space_group_name_Hall 'P 1'
_cell_length_a 5.699
_cell_length_b 5.699
_cell_length_c 4.983
_cell_angle_alpha 90.00
_cell_angle_beta 90.00
_cell_angle_gamma 90.00
loop_
_atom_site_label
_atom_site_type_symbol
_atom_site_fract_x
_atom_site_fract_y
_atom_site_fract_z
Bi1 Bi 0.000 0.000 0.000
Cs1 Cs 0.500 0.500 0.500
Si1 Si 0.000 0.500 0.000
Si2 Si 0.500 0.000 0.000
Co1 Co 0.000 0.000 0.500

=====

# Be2Tc2Pb PBE optimized geometry
# ΔH_f (0 K) in eV/atom: 0.18
# Space group: P4/mbm (127)
# Electronic total energy in eV/atom: -6.20
# Excess energy over the best structure of this formula in the dataset in meV/atom: 0
data_Be2Tc2Pb
_chemical_formula_sum 'Be4 Tc4 Pb2'
_space_group_name_H-M_alt 'P 1'
_space_group_IT_number 1
_space_group_name_Hall 'P 1'
_cell_length_a 6.350
_cell_length_b 6.350
_cell_length_c 3.294
_cell_angle_alpha 90.00
_cell_angle_beta 90.00
_cell_angle_gamma 90.00
loop_
_atom_site_label
_atom_site_type_symbol
_atom_site_fract_x
_atom_site_fract_y
_atom_site_fract_z
Pb1 Pb 0.000 0.000 0.000
Pb2 Pb 0.500 0.500 0.000
Be1 Be 0.614 0.114 0.000
Be2 Be 0.886 0.614 0.000
Be3 Be 0.114 0.386 0.000
Be4 Be 0.386 0.886 0.000
Tc1 Tc 0.670 0.830 0.500
Tc2 Tc 0.830 0.330 0.500
Tc3 Tc 0.170 0.670 0.500
Tc4 Tc 0.330 0.170 0.500

=====

# Ce3AlTc4 PBE optimized geometry
# ΔH_f (0 K) in eV/atom: -0.03
# Space group: Imm2 (44)
# Electronic total energy in eV/atom: -7.91
data_Ce3AlTc4
_chemical_formula_sum 'Ce3 Al1 Tc4'
_space_group_name_H-M_alt 'P 1'
_space_group_IT_number 1
_space_group_name_Hall 'P 1'
_cell_length_a 6.237
_cell_length_b 6.237
_cell_length_c 6.237
_cell_angle_alpha 115.67
_cell_angle_beta 88.38
_cell_angle_gamma 126.52
loop_
_atom_site_label
_atom_site_type_symbol
_atom_site_fract_x
_atom_site_fract_y
_atom_site_fract_z
Al1 Al 0.017 0.500 0.517
Tc1 Tc 0.006 0.734 0.272
Tc2 Tc 0.538 0.266 0.272
Tc3 Tc 0.263 0.309 0.572
Tc4 Tc 0.263 0.691 0.955
Ce1 Ce 0.934 0.000 0.934
Ce2 Ce 0.564 0.227 0.791
Ce3 Ce 0.564 0.773 0.338

=====

# CdMoOs2 PBE optimized geometry
# ΔH_f (0 K) in eV/atom: 0.45
# Space group: Pmm2 (25)
# Electronic total energy in eV/atom: -8.10
data_CdMoOs2
_chemical_formula_sum 'Cd1 Mo1 Os2'
_space_group_name_H-M_alt 'P 1'
_space_group_IT_number 1
_space_group_name_Hall 'P 1'
_cell_length_a 2.769
_cell_length_b 3.929
_cell_length_c 6.027
_cell_angle_alpha 90.00
_cell_angle_beta 90.00
_cell_angle_gamma 90.00
loop_
_atom_site_label
_atom_site_type_symbol
_atom_site_fract_x
_atom_site_fract_y
_atom_site_fract_z
Os1 Os 0.500 0.500 0.205
Os2 Os 0.000 0.000 0.020
Cd1 Cd 0.000 0.000 0.495
Mo1 Mo 0.500 0.500 0.779

=====

# BaNa2LaAu4 PBE optimized geometry
# ΔH_f (0 K) in eV/atom: -0.58
# Space group: R-3m (166)
# Electronic total energy in eV/atom: -3.41
data_BaNa2LaAu4
_chemical_formula_sum 'Ba1 Na2 La1 Au4'
_space_group_name_H-M_alt 'P 1'
_space_group_IT_number 1
_space_group_name_Hall 'P 1'
_cell_length_a 5.049
_cell_length_b 5.049
_cell_length_c 10.134
_cell_angle_alpha 75.57
_cell_angle_beta 75.57
_cell_angle_gamma 60.00
loop_
_atom_site_label
_atom_site_type_symbol
_atom_site_fract_x
_atom_site_fract_y
_atom_site_fract_z
Au1 Au 0.879 0.879 0.362
Au2 Au 0.121 0.121 0.638
Au3 Au 0.395 0.395 0.815
Au4 Au 0.605 0.605 0.185
Na1 Na 0.245 0.245 0.266
Na2 Na 0.755 0.755 0.734
Ba1 Ba 0.000 0.000 0.000
La1 La 0.500 0.500 0.500